(1)
Sr2CoRe, optimized geometry, DFT PBE; calculated total energy = -20.5 eV per cell; ΔE_f = 0.607 eV/atom; offset from the most stable computed form = 15 meV per atom
1.0
-1.878 2.557 5.600
1.878 -2.557 5.600
1.878 2.557 -5.600
Sr Co Re
2 1 1
Direct
0.000 0.000 0.000
0.721 0.221 0.500
0.301 0.801 0.500
0.410 0.410 0.000

***

(2)
CeTlBi, optimized geometry, DFT PBE; calculated total energy = -26.9 eV per cell; ΔE_f = -0.418 eV/atom; offset from the most stable computed form = 0 meV per atom
1.0
2.225 -8.647 0.000
2.225 8.647 0.000
0.000 0.000 4.728
Ce Tl Bi
2 2 2
Direct
0.091 0.909 0.750
0.909 0.091 0.250
0.245 0.755 0.250
0.755 0.245 0.750
0.422 0.578 0.750
0.578 0.422 0.250